Record 1
GdNiC | PBE | optimized geometry

**Uncorrected energy**: -9.8104 eV/atom
**DOS at the Fermi energy**: 0.496 states/eV per atom
**Formation energy from the elements**: -0.115 eV/atom
**Size of the total moment**: 7.0 μB per cell

Lattice parameters (Å, degrees): 3.5349 3.5349 3.8571 90.00 90.00 120.00
Closest atoms and distances in Å follow each position.
Space group P-6m2 (No. 187)
Unique sites:
Gd1 0.0000 0.0000 0.0000 [1 per cell]  6 C 2.81, 6 Ni 2.81
Ni1 0.6667 0.3333 0.5000 [1 per cell]  3 C 2.04
C1 0.3333 0.6667 0.5000 [1 per cell]  3 Ni 2.04


Record 2
RbNdHo4S8 | PBE | optimized geometry

**Uncorrected energy**: -5.9676 eV/atom
**DOS at the Fermi energy**: 0.000 states/eV per atom
**Size of the total moment**: 0.0 μB per cell
**Formation energy (no corrections)**: -1.891 eV/atom

Lattice parameters (Å, degrees): 8.2256 8.2256 20.6771 90.00 90.00 120.00
Closest atoms and distances in Å follow each position.
Space group R3m (No. 160, hexagonal axes)
Unique sites:
Rb1 0.0000 0.0000 0.0000 [3 per cell]  4 S 2.91-2.93
Nd1 0.0000 0.0000 0.6349 [3 per cell]  6 S 2.76-2.97
Ho1 0.0000 0.0000 0.2556 [3 per cell]  4 S 2.65-2.71
Ho2 0.1724 0.3447 0.4618 [9 per cell]  6 S 2.64-2.90
S1 0.0000 0.0000 0.3869 [3 per cell]  4 Ho 2.71-2.90
S2 0.0000 0.0000 0.8592 [3 per cell]  3 Ho 2.65, 1 Rb 2.91
S3 0.0439 0.5220 0.3901 [9 per cell]  2 Ho 2.64, 1 Nd 2.76, 1 Rb 2.93
S4 0.1738 0.3475 0.2094 [9 per cell]  3 Ho 2.65-2.90, 1 Nd 2.97


Record 3
Na4Sr2Ca5 | PBE | optimized geometry

**Uncorrected energy**: -1.5941 eV/atom
**DOS at the Fermi energy**: 0.947 states/eV per atom
**Formation energy from the elements**: 0.101 eV/atom
**Size of the total moment**: 0.0 μB per cell

Lattice parameters (Å, degrees): 16.1256 7.3324 10.6322 90.00 130.99 90.00
Closest atoms and distances in Å follow each position.
Space group C2/m (No. 12)
Unique sites:
Na1 0.2454 0.0000 0.0812 [4 per cell]  1 Na 3.45, 3 Ca 3.45-3.62, 1 Sr 3.68
Na2 0.2463 0.0000 0.4067 [4 per cell]  1 Na 3.45, 3 Ca 3.46-3.62, 1 Sr 3.70
Sr1 0.1829 0.5000 0.1841 [4 per cell]  4 Na 3.68-4.11
Ca1 0.0000 0.0000 0.0000 [2 per cell]  4 Na 3.45-3.46, 4 Ca 3.86
Ca2 0.9997 0.2457 0.3205 [8 per cell]  4 Ca 3.60-3.86, 4 Na 3.62-3.89


Record 4
In5Pt3 | PBE | optimized geometry

**Uncorrected energy**: -4.3400 eV/atom
**DOS at the Fermi energy**: 0.312 states/eV per atom
**Formation energy from the elements**: -0.363 eV/atom
**Size of the total moment**: 0.0 μB per cell
**Energy above the most stable polymorph in this dataset**: 23 meV per atom

Lattice parameters (Å, degrees): 7.8137 7.8137 6.2891 90.00 90.00 120.00
Closest atoms and distances in Å follow each position.
Space group P6_3/mcm (No. 193)
Unique sites:
In1 0.0000 0.2484 0.2500 [6 per cell]  3 Pt 2.71-2.78
In2 0.3333 0.6667 0.0000 [4 per cell]  6 Pt 2.87, 2 In 3.14
Pt1 0.0000 0.3959 0.7500 [6 per cell]  7 In 2.71-2.87


Record 5
Dy2ZnCu3 | PBE | optimized geometry

**Uncorrected energy**: -4.0744 eV/atom
**DOS at the Fermi energy**: 0.550 states/eV per atom
**Formation energy from the elements**: -0.280 eV/atom
**Size of the total moment**: 0.0 μB per cell
**Energy above the most stable polymorph in this dataset**: 0 meV per atom

Lattice parameters (Å, degrees): 7.0101 8.6936 14.8053 90.00 90.00 90.00
Closest atoms and distances in Å follow each position.
Space group Fmmm (No. 69)
Unique sites:
Dy1 0.2462 0.0000 0.0000 [8 per cell]  10 Cu 3.00-3.07, 2 Zn 3.04
Dy2 0.2500 0.2500 0.2500 [8 per cell]  8 Cu 3.02-3.06, 4 Zn 3.05
Zn1 0.0000 0.0000 0.3332 [8 per cell]  3 Cu 2.49-2.50
Cu1 0.0000 0.0000 0.1654 [8 per cell]  1 Zn 2.49, 2 Cu 2.49
Cu2 0.0000 0.2499 0.0835 [16 per cell]  2 Cu 2.47-2.49, 1 Zn 2.50


Record 6
Dy2Zn5Pd2Rh | PBE | optimized geometry

**Uncorrected energy**: -3.8250 eV/atom
**DOS at the Fermi energy**: 0.462 states/eV per atom
**Formation energy from the elements**: -0.494 eV/atom
**Size of the total moment**: 0.0 μB per cell

Lattice parameters (Å, degrees): 9.5149 9.5149 3.9219 90.00 90.00 90.00
Closest atoms and distances in Å follow each position.
Space group P4/mbm (No. 127)
Unique sites:
Dy1 0.1799 0.3201 0.0000 [4 per cell]  3 Pd 2.70-2.90
Zn1 0.0000 0.5000 0.5000 [2 per cell]  4 Pd 2.53
Zn2 0.0532 0.8099 0.5000 [8 per cell]  2 Zn 2.66, 2 Rh 2.72, 2 Pd 2.74
Pd1 0.1190 0.6190 0.0000 [4 per cell]  6 Zn 2.53-2.74, 1 Dy 2.70
Rh1 0.0000 0.0000 0.0000 [2 per cell]  8 Zn 2.72